Record 1
Material: NbTeIrOs2
Method: DFT, PBE
State: optimized geometry

Output
Crystal system ... tetragonal
Formation energy from raw total energies ... 1659.3 meV per atom
Calculated density ... 11.938 Mg/m³

a b c (Å): 4.765 4.860 4.765
angles (deg): 90.00 90.00 90.00
Atoms (fractional coordinates):
Te: 0.500 0.500 0.500
Ir: 0.000 0.000 0.000
Os: 0.000 0.000 0.500
Os: 0.500 0.000 0.000
Nb: 0.000 0.500 0.000

---

Record 2
Material: KZr2Co
Method: DFT, PBE
State: optimized geometry

Output
Crystal system ... tetragonal
Calculated density ... 5.465 Mg/m³
Distance to the lowest polymorph of the same formula ... 0.842 eV per atom

a b c (Å): 5.734 5.734 5.734
angles (deg): 137.44 137.44 61.76
Atoms (fractional coordinates):
Co: 0.500 0.500 0.000
K: 0.750 0.250 0.500
Zr: 0.000 0.000 0.000
Zr: 0.250 0.750 0.500

---

Record 3
Material: AcGePb
Method: DFT, PBE
State: optimized geometry

Output
Crystal system ... monoclinic
Calculated density ... 8.883 Mg/m³
Distance to the lowest polymorph of the same formula ... 0.025 eV per atom

a b c (Å): 4.329 4.692 9.329
angles (deg): 90.00 89.93 90.00
Atoms (fractional coordinates):
Ac: 0.087 0.415 0.301
Ac: 0.088 0.915 0.899
Ge: 0.588 0.415 0.033
Ge: 0.587 0.915 0.166
Pb: 0.589 0.415 0.709
Pb: 0.586 0.915 0.490

---

Record 4
Material: LaPm6Nd3Ho2
Method: DFT, PBE
State: optimized geometry

Output
E_tot ... -4.723 eV per atom
Crystal system ... monoclinic
Calculated density ... 7.133 Mg/m³

a b c (Å): 6.317 6.317 12.117
angles (deg): 95.00 95.00 119.99
Atoms (fractional coordinates):
La: 0.000 0.000 0.000
Pm: 0.917 0.582 0.752
Pm: 0.749 0.749 0.248
Pm: 0.083 0.418 0.248
Pm: 0.582 0.917 0.752
Pm: 0.251 0.251 0.752
Pm: 0.418 0.083 0.248
Nd: 0.167 0.833 0.500
Nd: 0.833 0.167 0.500
Nd: 0.500 0.500 0.500
Ho: 0.333 0.667 0.000
Ho: 0.667 0.333 0.000

---

Record 5
Material: Sn3F
Method: DFT, PBE
State: optimized geometry

Output
Crystal system ... orthorhombic
Formation energy from raw total energies ... -618.3 meV per atom
Calculated density ... 6.733 Mg/m³
Distance to the lowest polymorph of the same formula ... 0.000 eV per atom

a b c (Å): 4.540 5.583 5.126
angles (deg): 123.00 116.28 90.00
Atoms (fractional coordinates):
Sn: 0.286 0.703 0.572
Sn: 0.500 0.417 0.000
Sn: 0.714 0.131 0.428
F: 0.000 0.917 0.000

---

Record 6
Material: HfZrNF2
Method: DFT, PBE
State: optimized geometry

Output
Crystal system ... tetragonal
Formation energy from raw total energies ... -1144.8 meV per atom
Calculated density ... 6.938 Mg/m³
Distance to the lowest polymorph of the same formula ... 0.285 eV per atom

a b c (Å): 4.169 4.169 4.430
angles (deg): 90.00 90.00 90.00
Atoms (fractional coordinates):
N: 0.000 0.000 0.500
Hf: 0.500 0.500 0.500
Zr: 0.000 0.000 0.000
F: 0.000 0.500 0.000
F: 0.500 0.000 0.000